[1]
A geometry-optimized BaCaPrEu structure, computed with PBE-GGA.

It has space group F-43m (No. 216), with a = 8.917 Å, b = 8.917 Å, c = 8.917 Å, α = 90.00°, β = 90.00° and γ = 90.00°. Symmetry generates all atoms from Ba at (0.000, 0.000, 0.000), Ca at (0.250, 0.250, 0.250), Pr at (0.000, 0.000, 0.500) and Eu at (0.250, 0.250, 0.750).

The calculation puts the density at 4.4 g/cm³. The calculation puts the total energy at -4.617 eV/atom. The calculation puts the formation energy at 0.1276 eV/atom. As for the density of states at the Fermi level: 1.271 states/eV per atom.



[2]
A geometry-optimized LaNbTlW2 structure, computed with PBE-GGA.

It has space group P4/mmm (No. 123), with a = 4.870 Å, b = 4.870 Å, c = 5.429 Å, α = 90.00°, β = 90.00° and γ = 90.00°. Symmetry generates all atoms from La at (0.000, 0.000, 0.000), Nb at (0.500, 0.500, 0.500), Tl at (0.500, 0.500, 0.000) and W at (0.000, 0.500, 0.500).

The calculation puts the density at 10.4 g/cm³. The calculation puts the total energy at -7.394 eV/atom. The calculation puts the formation energy at 1.2596 eV/atom. As for the density of states at the Fermi level: 1.140 states/eV per atom.



[3]
A geometry-optimized CeSm3 structure, computed with PBE-GGA.

It has space group Fm-3m (No. 225), with a = 8.129 Å, b = 8.129 Å, c = 8.129 Å, α = 90.00°, β = 90.00° and γ = 90.00°. Symmetry generates all atoms from Ce at (0.000, 0.000, 0.000), Sm at (0.000, 0.000, 0.500) and Sm at (0.250, 0.250, 0.250).

The calculation puts the density at 7.3 g/cm³. The calculation puts the total energy at -4.820 eV/atom. The calculation puts the formation energy at 0.2027 eV/atom. As for the energy above the most stable polymorph in this dataset: 125.1 meV/atom. As for the density of states at the Fermi level: 2.931 states/eV per atom.



[4]
A geometry-optimized BaNa2Tl2 structure, computed with PBE-GGA.

It has space group Imma (No. 74), with a = 4.302 Å, b = 5.382 Å, c = 31.080 Å, α = 90.00°, β = 90.00° and γ = 90.00°. Symmetry generates all atoms from Ba at (0.000, 0.250, 0.076), Na at (0.000, 0.250, 0.307), Na at (0.000, 0.250, 0.795), Tl at (0.000, 0.250, 0.526) and Tl at (0.000, 0.250, 0.629).

The calculation puts the density at 5.5 g/cm³. The calculation puts the total energy at -2.053 eV/atom. The calculation puts the formation energy at -0.1947 eV/atom. As for the energy above the most stable polymorph in this dataset: 0.0 meV/atom. As for the density of states at the Fermi level: 0.644 states/eV per atom.